# Al3Cl

An optimized crystal structure of Al3Cl (GGA-PBE, Alexandria via LeMat-Bulk).

Cell: 5.895 5.895 5.494 Å, 90.00 90.00 120.00°
Fractional coordinates of all 8 atoms:
Al 0.161 0.321 0.250
Al 0.161 0.839 0.250
Al 0.321 0.161 0.750
Al 0.679 0.839 0.250
Al 0.839 0.161 0.750
Al 0.839 0.679 0.750
Cl 0.333 0.667 0.750
Cl 0.667 0.333 0.250

Values from the calculation:
The relative energy among the computed polymorphs is 356 meV per atom. The total energy comes out at -3.04 eV/atom. Its volume is 20.7 Å³/atom. As for the formation energy from raw total energies: 231 meV per atom.